# 1
TbPm4Tl: relaxed, PBE.

Output
space-group type	Cmc2_1, No. 36
volume	398.56	Å³/cell
energy above the lowest structure with this stoichiometry	116	meV/atom
energy	-4.321	eV per atom
formation enthalpy at 0 K	0.01	eV per atom

```
12
Lattice="5.6929 0.0000 0.0000 0.0000 6.5460 0.0000 -2.8464 0.0000 10.6950" Properties=species:S:1:pos:R:3 pbc="T T T"
Tb 2.8464 4.6440 7.7808
Tb 0.0000 1.3709 2.9142
Pm 2.8464 1.4202 9.3384
Pm 0.0000 4.6932 1.3566
Pm 0.0000 5.8677 9.7923
Pm 2.8464 2.5947 0.9026
Pm 2.8464 3.6693 3.9841
Pm 0.0000 0.3963 6.7109
Pm 2.8464 0.5990 5.3194
Pm 0.0000 3.8720 5.3756
Tl 2.8464 6.2750 2.2312
Tl 0.0000 3.0019 8.4638
```

# 2
Tb7PmTl4: relaxed, PBE.

Output
space-group type	C2/m, No. 12
volume	367.33	Å³/cell
energy	-3.918	eV per atom
formation enthalpy at 0 K	-0.03	eV per atom

```
12
Lattice="5.7576 0.0000 0.0000 2.8788 8.7966 0.7346 2.8788 0.8661 7.3251" Properties=species:S:1:pos:R:3 pbc="T T T"
Tb 8.6364 8.1947 4.5704
Tb 2.8788 1.4679 3.4893
Tb 2.8788 5.5324 2.4319
Tb 8.6364 4.1303 5.6278
Tb 5.7576 6.5491 6.2572
Tb 2.8788 0.0000 0.0000
Tb 5.7576 3.1135 1.8025
Pm 0.0000 0.0000 0.0000
Tl 5.7576 2.7781 4.7912
Tl 5.7576 6.8846 3.2685
Tl 8.6364 6.6944 7.5322
Tl 2.8788 2.9682 0.5275
```

# 3
Tb4Pm3Tl: relaxed, PBE.

Output
space-group type	Pmn2_1, No. 31
volume	504.82	Å³/cell
energy above the lowest structure with this stoichiometry	0	meV/atom
energy	-4.450	eV per atom
formation enthalpy at 0 K	-0.06	eV per atom

```
16
Lattice="7.0734 0.0000 0.0000 0.0000 6.2155 0.0000 0.0000 0.0000 11.4824" Properties=species:S:1:pos:R:3 pbc="T T T"
Tb 1.3326 5.1816 0.0000
Tb 3.0709 1.9893 0.0000
Tb 6.6428 0.0911 2.8294
Tb 3.1061 6.1244 2.9118
Tb 6.6076 4.2262 5.7412
Tb 4.8693 1.0339 5.7412
Tb 3.1061 6.1244 8.5706
Tb 6.6428 0.0911 8.6530
Pm 4.8867 5.2493 0.0000
Pm 1.3392 3.1228 2.8995
Pm 4.8759 3.0927 2.8417
Pm 1.3500 0.9662 5.7412
Pm 4.8759 3.0927 8.6407
Pm 1.3392 3.1228 8.5829
Tl 6.6840 2.1057 0.0000
Tl 3.1473 4.1097 5.7412
```

# 4
Tb2Pm4Tl: relaxed, PBE.

Output
space-group type	P1, No. 1
volume	444.63	Å³/cell
energy above the lowest structure with this stoichiometry	0	meV/atom
energy	-4.435	eV per atom
formation enthalpy at 0 K	-0.06	eV per atom

```
14
Lattice="-1.3611 -3.3886 -5.6140 3.1092 -2.6954 5.2852 -11.3801 -0.2323 4.6627" Properties=species:S:1:pos:R:3 pbc="T T T"
Tb -1.9741 -4.3967 3.6862
Tb -7.4589 -2.4593 0.6936
Tb -9.2404 -1.5907 4.4592
Tb -1.1253 -2.2484 -0.0761
Pm -6.8968 -2.2216 7.2045
Pm -10.8503 -2.9903 1.5254
Pm -2.8244 -3.8175 -2.8652
Pm -4.1129 -2.7083 1.7479
Pm -7.8280 -3.5297 -2.7532
Pm 1.0689 -2.9191 2.7338
Pm -2.1885 -5.4346 0.1842
Pm -6.6446 -3.6434 4.0151
Tl -4.0947 -1.6023 5.0127
Tl 1.3181 -4.7092 -0.2869
```

# 5
Tb12PmTl6: relaxed, PBE.

Output
space-group type	R-3m, No. 166
volume	641.01	Å³/cell
energy	-3.920	eV per atom
formation enthalpy at 0 K	0.00	eV per atom

```
19
Lattice="-5.3090 -5.4204 4.7077 8.1510 -3.3959 1.3255 0.0725 7.5311 4.7965" Properties=species:S:1:pos:R:3 pbc="T T T"
Tb -3.5780 -1.4000 6.6801
Tb 0.1985 -2.1555 7.2478
Tb 1.6323 1.2952 7.2715
Tb -0.8702 0.3308 4.4830
Tb 1.2822 -2.5805 3.5582
Tb 2.7160 0.8702 3.5818
Tb 3.4704 4.2024 5.4481
Tb 4.4794 -4.7303 4.1164
Tb 6.4925 0.1147 4.1496
Tb -0.5559 -5.4877 5.3816
Tb -1.5648 3.4450 6.7133
Tb 3.7847 -1.6161 6.3467
Pm 0.0000 0.0000 0.0000
Tl -1.7110 -2.7739 4.7502
Tl 0.7354 3.1139 4.7906
Tl 4.4079 -1.8536 3.2127
Tl 2.1791 -4.3992 6.0390
Tl 4.6256 1.4886 6.0794
Tl -1.4934 0.5683 7.6170
```

# 6
Tb6Pm2Tl: relaxed, PBE.

Output
space-group type	Immm, No. 71
volume	288.76	Å³/cell
energy above the lowest structure with this stoichiometry	0	meV/atom
energy	-4.406	eV per atom
formation enthalpy at 0 K	0.00	eV per atom

```
9
Lattice="-0.0735 2.6489 2.3241 -8.1671 3.9393 -4.7482 -0.7014 -7.5827 5.9476" Properties=species:S:1:pos:R:3 pbc="T T T"
Tb -3.0293 -0.8749 0.9026
Tb -8.5645 1.1595 1.0791
Tb -5.9127 -0.1195 2.6208
Tb -2.5175 2.5210 -0.2802
Tb -0.3775 -2.1540 2.4443
Tb -5.7231 4.0672 -2.1439
Pm -5.5617 0.6543 -0.9228
Pm -3.3803 -1.6488 4.4462
Tl 0.0000 0.0000 0.0000
```

# 7
Tb9Pm2Tl: relaxed, PBE.

Output
space-group type	P4/mmm, No. 123
volume	376.60	Å³/cell
energy	-4.500	eV per atom
formation enthalpy at 0 K	-0.04	eV per atom

```
12
Lattice="4.9732 0.0000 0.0000 0.0000 4.9732 0.0000 0.0000 0.0000 15.2267" Properties=species:S:1:pos:R:3 pbc="T T T"
Tb 2.4866 2.4866 0.0000
Tb 2.4866 2.4866 4.9891
Tb 2.4866 2.4866 10.2376
Tb 2.4866 0.0000 2.4526
Tb 2.4866 0.0000 7.6134
Tb 2.4866 0.0000 12.7741
Tb 0.0000 2.4866 2.4526
Tb 0.0000 2.4866 7.6134
Tb 0.0000 2.4866 12.7741
Pm 0.0000 0.0000 5.0573
Pm 0.0000 0.0000 10.1695
Tl 0.0000 0.0000 0.0000
```

# 8
Tb7PmTl2: relaxed, PBE.

Output
space-group type	Cmmm, No. 65
volume	388.06	Å³/cell
energy	-3.831	eV per atom
formation enthalpy at 0 K	0.36	eV per atom

```
10
Lattice="-1.2127 3.4132 4.0626 5.8674 -4.2701 5.3390 2.9366 6.9325 -4.9478" Properties=species:S:1:pos:R:3 pbc="T T T"
Tb 5.1954 -1.7015 2.9804
Tb 3.6086 4.3639 -2.5892
Tb 0.6348 3.5465 0.8560
Tb 6.9564 2.5292 3.5978
Tb 1.3449 0.8322 3.3485
Tb 6.2463 5.2435 1.1053
Tb 3.7956 3.0378 2.2269
Pm 0.0000 0.0000 0.0000
Tl 4.3667 0.8547 4.2315
Tl 3.2245 5.2210 0.2223
```

# 9
TbPmTl: relaxed, PBE.

Output
space-group type	P6_3/mmc, No. 194
volume	178.93	Å³/cell
energy above the lowest structure with this stoichiometry	5	meV/atom
energy	-4.176	eV per atom
formation enthalpy at 0 K	-0.26	eV per atom

```
6
Lattice="-2.5148 -0.3021 -4.8772 4.9179 -2.3494 0.7051 -3.0519 -5.8083 1.9334" Properties=species:S:1:pos:R:3 pbc="T T T"
Tb 2.4589 -1.1747 0.3526
Tb 0.9330 -4.0788 1.3193
Pm -2.3067 -4.8487 -0.0575
Pm 1.6579 -3.6110 -2.1811
Tl 0.1331 -6.5155 -1.2135
Tl -0.7820 -1.9442 -1.0252
```

# 10
Tb4Pm2Tl: relaxed, PBE.

Output
space-group type	P2_1/m, No. 11
volume	441.47	Å³/cell
energy above the lowest structure with this stoichiometry	2	meV/atom
energy	-4.352	eV per atom
formation enthalpy at 0 K	-0.01	eV per atom

```
14
Lattice="5.7935 0.0000 -0.4146 0.0000 6.7337 0.0000 -2.2977 0.0000 11.4807" Properties=species:S:1:pos:R:3 pbc="T T T"
Tb 2.9756 3.3076 3.0313
Tb 3.6274 5.0503 9.5802
Tb -0.1316 1.6834 1.4859
Tb 2.9756 0.0593 3.0313
Tb 3.6254 1.6834 6.1748
Tb 0.5202 6.6745 8.0348
Tb 0.5202 3.4261 8.0348
Tb -0.1295 5.0503 4.8913
Pm 3.1588 5.0503 0.0532
Pm 0.3370 1.6834 11.0129
Pm 0.5475 1.6834 4.8128
Pm 2.9484 5.0503 6.2533
Tl 0.3350 5.0503 1.7887
Tl 3.1609 1.6834 9.2773
```

# 11
Tb12Pm6Tl: relaxed, PBE.

Output
space-group type	R-3, No. 148
volume	621.54	Å³/cell
energy	-4.469	eV per atom
formation enthalpy at 0 K	0.08	eV per atom

```
19
Lattice="8.4681 0.6865 0.8224 -0.6052 8.4743 0.8224 -0.6052 -0.7051 8.4848" Properties=species:S:1:pos:R:3 pbc="T T T"
Tb 6.0010 4.7965 4.7694
Tb 2.8814 6.5131 5.5715
Tb 3.8313 3.5027 7.4039
Tb 1.2567 3.6592 5.3603
Tb 4.3763 1.9426 4.5582
Tb 3.4264 4.9530 2.7259
Tb -0.2191 1.3431 3.2143
Tb 5.8969 5.2908 9.5681
Tb 4.3357 8.2292 8.2338
Tb 7.4767 7.1126 6.9154
Tb 1.3608 3.1649 0.5617
Tb 2.9220 0.2265 1.8959
Pm 5.5390 7.9792 3.9209
Pm 5.6936 2.6121 1.5783
Pm 0.2105 5.7924 2.8521
Pm 1.7187 0.4765 6.2088
Pm 1.5641 5.8436 8.5514
Pm 7.0472 2.6633 7.2776
Tl 0.0000 0.0000 0.0000
```

# 12
Tb5Pm2Tl: relaxed, PBE.

Output
space-group type	Cmmm, No. 65
volume	250.56	Å³/cell
energy above the lowest structure with this stoichiometry	0	meV/atom
energy	-4.425	eV per atom
formation enthalpy at 0 K	-0.05	eV per atom

```
8
Lattice="-0.6940 -2.3852 -2.5808 6.1344 -3.0431 1.1629 -6.6736 -2.1702 8.7818" Properties=species:S:1:pos:R:3 pbc="T T T"
Tb 3.0672 -1.5215 0.5815
Tb 0.1249 -3.3837 0.6130
Tb -1.3581 -4.2148 6.7510
Tb 3.2645 -4.9412 1.2082
Tb -4.4977 -2.6573 6.1558
Pm 0.9783 -4.4723 3.8786
Pm -2.2115 -3.1262 3.4853
Tl 0.0000 0.0000 0.0000
```

# 13
TbPm7Tl2: relaxed, PBE.

Output
space-group type	Cmmm, No. 65
volume	403.15	Å³/cell
energy	-3.922	eV per atom
formation enthalpy at 0 K	0.34	eV per atom

```
10
Lattice="5.3781 0.0000 0.0000 0.0000 9.2771 -0.2701 0.0000 -4.3350 8.2065" Properties=species:S:1:pos:R:3 pbc="T T T"
Tb 0.0000 0.0000 0.0000
Pm 0.0000 6.2369 1.6231
Pm 0.0000 -1.2948 6.3132
Pm 2.6890 -0.7236 2.4522
Pm 2.6890 5.6658 5.4841
Pm 2.6890 2.5199 0.4324
Pm 2.6890 2.4222 7.5040
Pm 2.6890 2.4711 3.9682
Tl 2.6890 5.1063 2.3271
Tl 2.6890 -0.1642 5.6092
```

# 14
TbPm4Tl2: relaxed, PBE.

Output
space-group type	C2/m, No. 12
volume	224.91	Å³/cell
energy above the lowest structure with this stoichiometry	43	meV/atom
energy	-3.975	eV per atom
formation enthalpy at 0 K	0.08	eV per atom

```
7
Lattice="-3.0051 0.5326 -5.5238 2.9362 -5.5114 0.9109 -5.1580 -1.7332 3.1346" Properties=species:S:1:pos:R:3 pbc="T T T"
Tb 0.0000 0.0000 0.0000
Pm -4.3430 -1.5966 -2.6124
Pm -0.8839 -5.1154 1.1340
Pm -1.5025 0.2663 -2.7619
Pm 1.4681 -2.7557 0.4554
Tl -1.4094 -3.3194 -1.8165
Tl -3.8175 -3.3926 0.3382
```

# 15
TbPm3Tl: relaxed, PBE.

Output
space-group type	Cmcm, No. 63
volume	309.58	Å³/cell
energy above the lowest structure with this stoichiometry	0	meV/atom
energy	-4.381	eV per atom
formation enthalpy at 0 K	-0.13	eV per atom

```
10
Lattice="4.7681 0.0000 1.0896 0.0000 4.8994 0.0000 -0.4941 0.0000 13.1391" Properties=species:S:1:pos:R:3 pbc="T T T"
Tb 1.9193 3.6746 9.6954
Tb 0.6780 1.2249 4.1502
Pm 3.6290 1.2249 2.2138
Pm 1.3568 1.2249 12.1566
Pm 2.4859 1.2249 7.2161
Pm 1.2404 3.6746 1.6890
Pm 3.7363 3.6746 12.7214
Pm 0.1114 3.6746 6.6295
Tl 3.0474 3.6746 4.7589
Tl 4.3180 1.2249 10.1762
```

# 16
TbPm5Tl2: relaxed, PBE.

Output
space-group type	P6_3/mmc, No. 194
volume	541.44	Å³/cell
energy above the lowest structure with this stoichiometry	48	meV/atom
energy	-4.203	eV per atom
formation enthalpy at 0 K	-0.06	eV per atom

```
16
Lattice="5.5428 0.0000 0.0000 -2.7714 4.8002 0.0000 0.0000 0.0000 20.3499" Properties=species:S:1:pos:R:3 pbc="T T T"
Tb 0.0000 3.2001 5.0875
Tb 2.7714 1.6001 15.2624
Pm 0.0000 0.0000 6.8753
Pm 0.0000 0.0000 3.2996
Pm 2.7714 1.6001 5.0875
Pm 0.0000 0.0000 17.0503
Pm 2.7714 1.6001 1.2636
Pm 0.0000 3.2001 15.2624
Pm 0.0000 3.2001 19.0863
Pm 0.0000 3.2001 11.4385
Pm 2.7714 1.6001 8.9114
Pm 0.0000 0.0000 13.4746
Tl 2.7714 1.6001 12.1223
Tl 0.0000 3.2001 1.9474
Tl 0.0000 3.2001 8.2276
Tl 2.7714 1.6001 18.4025
```

# 17
Tb4Pm2Tl: relaxed, PBE.

Output
space-group type	P2_1/c, No. 14
volume	445.56	Å³/cell
energy above the lowest structure with this stoichiometry	0	meV/atom
energy	-4.354	eV per atom
formation enthalpy at 0 K	-0.01	eV per atom

```
14
Lattice="-6.3450 6.0445 -6.2053 -4.2722 -4.9572 -0.4604 1.2552 7.0694 5.6027" Properties=species:S:1:pos:R:3 pbc="T T T"
Tb -6.4100 7.6752 0.0974
Tb -6.6557 6.0173 -3.0375
Tb -7.5839 2.3879 -2.0864
Tb -4.2757 10.1555 0.3259
Tb -5.0862 -1.9987 -1.3889
Tb -1.7780 5.7688 1.0234
Tb -2.7062 2.1395 1.9746
Tb -2.9519 0.4815 -1.1604
Pm -8.9927 3.8642 -4.8619
Pm -0.3692 4.2925 3.7989
Pm -5.1588 4.3418 0.9737
Pm -4.2031 3.8149 -2.0366
Tl 0.0000 0.0000 0.0000
Tl -5.3086 0.5437 -3.3328
```

# 18
Tb2PmTl: relaxed, PBE.

Output
space-group type	R3m, No. 160
volume	126.54	Å³/cell
energy above the lowest structure with this stoichiometry	85	meV/atom
energy	-4.199	eV per atom
formation enthalpy at 0 K	-0.10	eV per atom

```
4
Lattice="3.6789 0.0000 0.0000 1.8394 3.1860 0.0000 1.8394 1.0620 10.7962" Properties=species:S:1:pos:R:3 pbc="T T T"
Tb 1.8394 1.0620 8.3082
Tb 1.8394 1.0620 2.4822
Pm 3.6789 2.1240 5.4015
Tl 3.6789 2.1240 0.0025
```

# 19
TbPm14Tl: relaxed, PBE.

Output
space-group type	P4/mmm, No. 123
volume	532.67	Å³/cell
energy	-4.616	eV per atom
formation enthalpy at 0 K	-0.02	eV per atom

```
16
Lattice="7.1415 0.9585 0.0000 -0.9579 7.1416 0.0000 0.0000 0.0000 10.2594" Properties=species:S:1:pos:R:3 pbc="T T T"
Tb 6.1296 1.7310 0.0000
Pm 2.0805 4.8222 5.1297
Pm 6.1281 1.7322 5.1297
Pm 5.6486 5.3015 0.0000
Pm 5.6514 5.3024 5.1297
Pm 2.5586 1.2538 0.0000
Pm 2.5585 1.2509 5.1297
Pm 3.6210 6.8423 7.7349
Pm 3.6210 6.8423 2.5245
Pm 0.5379 2.8036 7.7349
Pm 0.5379 2.8036 2.5245
Pm 0.0617 6.3633 7.7352
Pm 0.0617 6.3633 2.5242
Pm 4.0973 3.2825 7.7356
Pm 4.0973 3.2825 2.5238
Tl 2.0785 4.8237 0.0000
```

# 20
Tb6PmTl5: relaxed, PBE.

Output
space-group type	Immm, No. 71
volume	341.13	Å³/cell
energy above the lowest structure with this stoichiometry	0	meV/atom
energy	-3.978	eV per atom
formation enthalpy at 0 K	-0.28	eV per atom

```
12
Lattice="-1.6856 4.4660 1.6482 -8.3076 -2.6835 -1.2248 4.8163 -3.6033 6.9525" Properties=species:S:1:pos:R:3 pbc="T T T"
Tl -0.8966 1.4236 2.9623
Tl -0.1154 -1.7359 4.5857
Tl -4.1538 -1.3417 -0.6124
Tl -5.0615 -0.0848 2.7902
Tl -4.2802 -3.2444 4.4136
Tb -2.9173 -0.1860 5.2572
Tb 0.9941 1.0774 5.8339
Tb -6.8689 0.2865 -0.0644
Tb -3.1242 1.4961 0.4877
Tb -6.1709 -2.8982 1.5420
Tb -2.2596 -1.6347 2.1187
Pm 0.0000 0.0000 0.0000
```